i:
## LiMgAu (PBE-GGA)

Data for an optimized crystal structure of LiMgAu.

Results
Fermi-level density of states in states/eV per atom: 0.42
Space-group type: P3m1
Total magnetization in μB/f.u.: 0.000

a = 4.5776 Å, b = 4.5776 Å, c = 5.7162 Å
α = 90.00°, β = 90.00°, γ = 120.00°
Element x y z (fractional)
Li (0.3333, 0.6667, 0.8498)
Au (0.6667, 0.3333, 0.9731)
Au (0.3333, 0.6667, 0.3573)
Mg (0.0000, 0.0000, 0.1662)
Li (0.0000, 0.0000, 0.6775)
Mg (0.6667, 0.3333, 0.4883)

***

ii:
## LiMgAu (PBE-GGA)

Data for an optimized crystal structure of LiMgAu.

Results
Fermi-level density of states in states/eV per atom: 0.32
Space-group type: F-43m
Total magnetization in μB/f.u.: 0.000

a = 4.3047 Å, b = 4.3047 Å, c = 4.3047 Å
α = 60.00°, β = 60.00°, γ = 60.00°
Element x y z (fractional)
Li (0.7500, 0.7500, 0.7500)
Au (0.5000, 0.5000, 0.5000)
Mg (0.0000, 0.0000, 0.0000)

***

i has the most favorable energy; the next structure is 25.0 kJ/mol of atoms above.

***

i:
## LiMgAu (PBE-GGA)

Data for an optimized crystal structure of LiMgAu.

Results
Fermi-level density of states in states/eV per atom: 0.20
Space-group type: Amm2
Total magnetization in μB/f.u.: 0.000

a = 4.2677 Å, b = 3.8015 Å, c = 12.6458 Å
α = 90.00°, β = 90.00°, γ = 90.00°
Element x y z (fractional)
Au (0.0000, 0.0000, 0.5298)
Au (0.0000, 0.5000, 0.0298)
Au (0.5000, 0.5000, 0.8402)
Mg (0.5000, 0.5000, 0.1775)
Li (0.0000, 0.0000, 0.1841)
Mg (0.0000, 0.0000, 0.8643)
Au (0.5000, 0.0000, 0.3402)
Mg (0.5000, 0.0000, 0.6775)
Li (0.5000, 0.5000, 0.5080)
Li (0.0000, 0.5000, 0.6841)
Li (0.5000, 0.0000, 0.0080)
Mg (0.0000, 0.5000, 0.3643)

***

ii:
## LiMgAu (PBE-GGA)

Data for an optimized crystal structure of LiMgAu.

Results
Fermi-level density of states in states/eV per atom: 0.28
Space-group type: I4mm
Total magnetization in μB/f.u.: 0.000

a = 5.0802 Å, b = 5.0801 Å, c = 3.3936 Å
α = 70.49°, β = 70.49°, γ = 39.02°
Element x y z (fractional)
Mg (0.6609, 0.6609, 0.3391)
Li (0.3463, 0.3463, 0.6537)
Au (0.9928, 0.9928, 0.0072)

***

i has the most favorable energy; the next structure is 1.1 kJ/mol of atoms above.